No. 1
ZnSnH2 | PBEsol | relaxed

Lattice parameters (Å, degrees): 4.076 4.076 4.076 60.00 60.00 60.00
Sites, in units of the cell vectors:
H 0.750 0.750 0.750
H 0.250 0.250 0.250
Sn 0.500 0.500 0.500
Zn 0.000 0.000 0.000

Summary:
space group = Fm-3m

=====

No. 2
ZrSnH2 | PBEsol | relaxed

Lattice parameters (Å, degrees): 4.123 4.123 4.123 60.00 60.00 60.00
Sites, in units of the cell vectors:
Zr 0.000 0.000 0.000
H 0.250 0.250 0.250
H 0.750 0.750 0.750
Sn 0.500 0.500 0.500

Summary:
space group = Fm-3m

=====

No. 3
SrTa2H | PBEsol | relaxed

Lattice parameters (Å, degrees): 6.010 6.010 6.010 60.00 60.00 60.00
Sites, in units of the cell vectors:
H 0.750 0.750 0.750
H 0.500 0.500 0.500
Ta 0.125 0.625 0.625
Ta 0.625 0.125 0.625
Ta 0.625 0.625 0.625
Ta 0.625 0.625 0.125
Sr 0.000 0.000 0.000
Sr 0.250 0.250 0.250

Summary:
space group = Fd-3m

=====

No. 4
Sr2TeH2 | PBEsol | relaxed

Lattice parameters (Å, degrees): 4.113 4.113 7.003 107.08 107.08 90.00
Sites, in units of the cell vectors:
H 0.250 0.750 0.500
H 0.750 0.250 0.500
Sr 0.646 0.646 0.292
Sr 0.354 0.354 0.708
Te 0.000 0.000 0.000

Summary:
space group = I4/mmm

=====

No. 5
SrTeH2 | PBEsol | relaxed

Lattice parameters (Å, degrees): 4.532 4.532 8.005 106.44 106.44 90.00
Sites, in units of the cell vectors:
Sr 0.750 0.250 0.500
Sr 0.500 0.500 0.000
H 0.330 0.875 0.250
H 0.920 0.375 0.250
H 0.125 0.080 0.750
H 0.625 0.670 0.750
Te 0.250 0.750 0.500
Te 0.000 0.000 0.000

Summary:
space group = I-42d

=====

No. 6
SrTiH2 | PBEsol | relaxed

Lattice parameters (Å, degrees): 4.354 4.354 4.354 60.00 60.00 60.00
Sites, in units of the cell vectors:
Sr 0.500 0.500 0.500
Ti 0.000 0.000 0.000
H 0.250 0.250 0.250
H 0.750 0.750 0.750

Summary:
space group = Fm-3m

=====

No. 7
Sr2TlH | PBEsol | relaxed

Lattice parameters (Å, degrees): 6.680 6.680 6.680 105.05 111.73 111.73
Sites, in units of the cell vectors:
Sr 0.404 0.529 0.625
Sr 0.096 0.875 0.471
Sr 0.904 0.375 0.779
Sr 0.596 0.221 0.125
Tl 0.500 0.750 0.250
Tl 0.000 0.000 0.000
H 0.500 0.250 0.750
H 0.000 0.500 0.500

Summary:
space group = I-42d

=====

No. 8
Sr3TlH | PBEsol | relaxed

Lattice parameters (Å, degrees): 5.254 5.254 5.254 90.00 90.00 90.00
Sites, in units of the cell vectors:
Tl 0.500 0.500 0.500
H 0.000 0.000 0.000
Sr 0.000 0.000 0.500
Sr 0.000 0.500 0.000
Sr 0.500 0.000 0.000

Summary:
space group = Pm-3m

=====

No. 9
SrY2TlH | PBEsol | relaxed

Lattice parameters (Å, degrees): 5.673 5.832 5.832 90.00 90.00 90.00
Sites, in units of the cell vectors:
Y 0.000 0.000 0.500
Y 0.000 0.500 0.000
Sr 0.000 0.000 0.000
H 0.500 0.500 0.500
Tl 0.500 0.000 0.000

Summary:
space group = P4/mmm

=====

No. 10
SrZn2HW | PBEsol | relaxed

Lattice parameters (Å, degrees): 3.552 5.081 5.081 90.00 90.00 90.00
Sites, in units of the cell vectors:
Zn 0.000 0.500 0.000
Zn 0.000 0.000 0.500
W 0.000 0.000 0.000
Sr 0.500 0.500 0.500
H 0.500 0.000 0.000

Summary:
space group = P4/mmm

=====

No. 11
SrZnH3 | PBEsol | relaxed

Lattice parameters (Å, degrees): 4.403 4.403 4.403 90.00 90.00 90.00
Sites, in units of the cell vectors:
H 0.000 0.500 0.000
H 0.000 0.000 0.500
H 0.500 0.000 0.000
Sr 0.000 0.000 0.000
Zn 0.500 0.500 0.500

Summary:
space group = Pm-3m

=====

No. 12
Sr2ZnH2 | PBEsol | relaxed

Lattice parameters (Å, degrees): 3.996 3.996 7.222 106.06 106.06 90.00
Sites, in units of the cell vectors:
Zn 0.000 0.000 0.000
Sr 0.353 0.353 0.706
Sr 0.647 0.647 0.294
H 0.750 0.250 0.500
H 0.250 0.750 0.500

Summary:
space group = I4/mmm

=====

No. 13
TaH2 | PBEsol | relaxed

Lattice parameters (Å, degrees): 3.169 3.169 3.169 60.00 60.00 60.00
Sites, in units of the cell vectors:
H 0.750 0.750 0.750
H 0.250 0.250 0.250
Ta 0.000 0.000 0.000

Summary:
space group = Fm-3m

=====

No. 14
Ta2TcH2 | PBEsol | relaxed

Lattice parameters (Å, degrees): 3.067 3.067 6.225 104.26 104.26 90.00
Sites, in units of the cell vectors:
H 0.250 0.750 0.500
H 0.750 0.250 0.500
Tc 0.000 0.000 0.000
Ta 0.639 0.639 0.277
Ta 0.361 0.361 0.723

Summary:
space group = I4/mmm

=====

No. 15
Ta2Tc2H | PBEsol | relaxed

Lattice parameters (Å, degrees): 3.372 3.372 7.379 103.21 103.21 90.00
Sites, in units of the cell vectors:
Ta 0.594 0.594 0.189
Ta 0.406 0.406 0.811
H 0.000 0.000 0.000
Tc 0.750 0.250 0.500
Tc 0.250 0.750 0.500

Summary:
space group = I4/mmm

=====

Number 1: total energy -2.525 eV/atom. Number 2: total energy -4.734 eV/atom. Number 3: total energy -7.088 eV/atom. Number 4: total energy -3.797 eV/atom. Number 5: total energy -3.140 eV/atom. Number 6: total energy -3.688 eV/atom. Number 7: total energy -2.715 eV/atom. Number 8: total energy -2.605 eV/atom. Number 9: total energy -2.700 eV/atom. Number 10: total energy -3.953 eV/atom. Number 11: total energy -2.274 eV/atom. Number 12: total energy -2.698 eV/atom. Number 13: total energy -6.552 eV/atom. Number 14: total energy -8.834 eV/atom. Number 15: total energy -9.202 eV/atom.